PaTiCd2O6 | PBE | optimized geometry

Cell: 5.7571 5.7571 4.4520 Å, 90.00 90.00 90.00°
With the nearest neighbours (Å) after each atom.
Atoms (fractional coordinates):
1 Pa 0.0000 0.0000 0.0000  6 O 2.16-2.28
2 Ti 0.5000 0.5000 0.9537  1 O 1.75
3 Cd 0.0000 0.5000 0.3890  4 O 2.50
4 Cd 0.5000 0.0000 0.3890  4 O 2.50
5 O 0.0000 0.0000 0.5132  2 Pa 2.17-2.28
6 O 0.2633 0.2633 0.0636  1 Ti 1.99, 1 Pa 2.16
7 O 0.2633 0.7367 0.0636  1 Ti 1.99, 1 Pa 2.16
8 O 0.5000 0.5000 0.5617  1 Ti 1.75
9 O 0.7367 0.2633 0.0636  1 Ti 1.99, 1 Pa 2.16
10 O 0.7367 0.7367 0.0636  1 Ti 1.99, 1 Pa 2.16

mass density	6.75	g/cm3
DOS(E_F)	1.439	states/eV per cell
energy relative to the elements, uncorrected	-2.27	eV per atom
raw total energy	-7.171	eV/atom